A plane-wave DFT calculation with GGA-PBE was carried out for crystalline HfCoHg at its relaxed geometry.

```
HfCoHg
1.0
-0.9137 3.6437 -0.2660
-3.1558 1.2752 1.6097
3.5591 3.4604 8.6193
Hf Co Hg
2 2 2
Direct
0.4642 0.0854 0.6880 Hf
0.5763 0.1970 0.3514 Hf
0.8535 0.4744 0.5200 Co
0.1864 0.8073 0.5209 Co
0.3166 0.9372 0.1307 Hg
0.0567 0.6779 0.9102 Hg
```

Output
ΔE_f, eV/atom: -0.121
VASP energy, eV/atom: -5.909
Energy relative to the lowest polymorph listed for this composition, meV per atom: 0
Magnetic moment, Bohr magnetons per cell: 0.00